1.
A relaxed structure of Y4CoC3, computed with PBE.

Summary:
space group: P6_3/mmc (194)
theoretical density: 5.27 g/cm3

Cell: 3.5699 3.5699 25.7449 Å, 90.00 90.00 120.00°
Sites, in units of the cell vectors:
Y: 0.0000 0.0000 0.1685
Y: 0.0000 0.0000 0.3315
Y: 0.0000 0.0000 0.6685
Y: 0.0000 0.0000 0.8315
Y: 0.3333 0.6667 0.0579
Y: 0.3333 0.6667 0.4421
Y: 0.6667 0.3333 0.5579
Y: 0.6667 0.3333 0.9421
Co: 0.3333 0.6667 0.2500
Co: 0.6667 0.3333 0.7500
C: 0.0000 0.0000 0.0000
C: 0.0000 0.0000 0.5000
C: 0.3333 0.6667 0.6183
C: 0.3333 0.6667 0.8817
C: 0.6667 0.3333 0.1183
C: 0.6667 0.3333 0.3817



2.
A relaxed structure of Y3CoC2, computed with PBE.

Summary:
space group: P6_3/mmc (194)
theoretical density: 5.32 g/cm3

Cell: 3.5672 3.5672 19.8075 Å, 90.00 90.00 120.00°
Sites, in units of the cell vectors:
Y: 0.0000 0.0000 0.0000
Y: 0.0000 0.0000 0.5000
Y: 0.3333 0.6667 0.1442
Y: 0.3333 0.6667 0.3558
Y: 0.6667 0.3333 0.6442
Y: 0.6667 0.3333 0.8558
Co: 0.0000 0.0000 0.2500
Co: 0.0000 0.0000 0.7500
C: 0.3333 0.6667 0.5781
C: 0.3333 0.6667 0.9219
C: 0.6667 0.3333 0.0781
C: 0.6667 0.3333 0.4219



3.
A relaxed structure of Y4ZnCoC2, computed with PBE.

Summary:
space group: P-6m2 (187)
theoretical density: 5.22 g/cm3

Cell: 3.6127 3.6127 14.1901 Å, 90.00 90.00 120.00°
Sites, in units of the cell vectors:
Y: 0.0000 0.0000 0.1389
Y: 0.0000 0.0000 0.8611
Y: 0.3333 0.6667 0.3314
Y: 0.3333 0.6667 0.6686
Zn: 0.0000 0.0000 0.5000
Co: 0.3333 0.6667 0.0000
C: 0.6667 0.3333 0.2411
C: 0.6667 0.3333 0.7589



| no. | calculated total energy (eV/cell) |
| --- | --- |
| 1 | -120.74 |
| 2 | -89.48 |
| 3 | -53.45 |